Density functional theory data (PBE) for an optimized crystal structure of CuTcBr6.

Output
space group = C2/m, No. 12
DOS at the Fermi energy = 3.0 states/eV/f.u.
crystal system = monoclinic
formation energy from raw total energies = -28.9 kJ/mol of atoms
volume = 259.6 Å³/cell

Cell: 7.0119 7.0119 6.9232 Å, 103.00 103.00 120.99°
With the nearest neighbours (Å) after each atom.
Fractional positions:
Cu 0.0000 0.0000 0.0000  4 Br 2.47
Tc 0.5000 0.5000 0.5000  6 Br 2.48-2.55
Br 0.0978 0.3846 0.2423  1 Cu 2.47, 1 Tc 2.55
Br 0.2904 0.2904 0.7103  1 Tc 2.48
Br 0.3846 0.0978 0.2423  1 Cu 2.47, 1 Tc 2.55
Br 0.6154 0.9022 0.7577  1 Cu 2.47, 1 Tc 2.55
Br 0.7096 0.7096 0.2897  1 Tc 2.48
Br 0.9022 0.6154 0.7577  1 Cu 2.47, 1 Tc 2.55

***

Density functional theory data (PBE) for an optimized crystal structure of PuThH.

Output
space group = Cmcm, No. 63
DOS at the Fermi energy = 3.9 states/eV/f.u.
crystal system = orthorhombic
DFT total energy = -8.370 eV/atom
volume = 106.4 Å³/cell

Cell: 5.2444 5.2444 4.5079 Å, 90.00 90.00 120.90°
With the nearest neighbours (Å) after each atom.
Fractional positions:
Pu 0.0143 0.9857 0.7500  2 Pu 2.27
Pu 0.9857 0.0143 0.2500  2 Pu 2.27
Th 0.3293 0.6707 0.7500  3 H 2.30-2.40
Th 0.6707 0.3293 0.2500  3 H 2.30-2.40
H 0.4183 0.5817 0.2500  3 Th 2.30-2.40
H 0.5817 0.4183 0.7500  3 Th 2.30-2.40

***

Density functional theory data (PBE) for an optimized crystal structure of SiNiRh.

Output
space group = Imm2, No. 44
DOS at the Fermi energy = 1.4 states/eV/f.u.
crystal system = orthorhombic
formation energy from raw total energies = -47.3 kJ/mol of atoms
volume = 39.9 Å³/cell

Cell: 4.0789 4.0789 4.0789 Å, 136.81 117.81 78.72°
With the nearest neighbours (Å) after each atom.
Fractional positions:
Si 0.0000 0.0000 0.0000  4 Ni 2.32-2.52, 4 Rh 2.39-2.47
Ni 0.7193 0.2193 0.5000  4 Si 2.32-2.52
Rh 0.2941 0.7941 0.5000  4 Si 2.39-2.47, 4 Ni 2.63